No. 1
A relaxed TiSi2Tc2 crystal, computed with PBE-GGA.

Output
E ... -8.408 eV per atom
Symmetry ... No. 127
Total moment ... 0.001 μB/atom
ΔE_f (raw) ... -0.513 eV per atom

a b c (Å): 6.844 6.844 3.012
angles (deg): 90.00 90.00 90.00
Fractional coordinates of all 10 atoms:
Ti 0.000 0.000 0.000
Ti 0.500 0.500 0.000
Si 0.138 0.362 0.000
Si 0.362 0.862 0.000
Si 0.638 0.138 0.000
Si 0.862 0.638 0.000
Tc 0.156 0.656 0.500
Tc 0.344 0.156 0.500
Tc 0.656 0.844 0.500
Tc 0.844 0.344 0.500

No. 2
A relaxed Zr2CoAuN crystal, computed with PBE-GGA.

Output
E ... -7.917 eV per atom
Symmetry ... No. 123
Total moment ... 0.167 μB/atom
ΔE_f (raw) ... -0.756 eV per atom

a b c (Å): 4.520 4.520 3.804
angles (deg): 90.00 90.00 90.00
Fractional coordinates of all 5 atoms:
Zr 0.000 0.500 0.000
Zr 0.500 0.000 0.000
Co 0.000 0.000 0.500
Au 0.500 0.500 0.500
N 0.000 0.000 0.000

No. 3
A relaxed Cd8AgPt5 crystal, computed with PBE-GGA.

Output
E_form ... -0.16 eV/atom
E ... -3.046 eV per atom
Symmetry ... No. 82
Total moment ... 0.000 μB/atom

a b c (Å): 7.082 7.082 7.082
angles (deg): 110.15 110.15 108.11
Fractional coordinates of all 14 atoms:
Cd 0.008 0.104 0.756
Cd 0.192 0.436 0.577
Cd 0.349 0.253 0.244
Cd 0.385 0.808 0.244
Cd 0.564 0.141 0.756
Cd 0.747 0.992 0.096
Cd 0.859 0.615 0.423
Cd 0.896 0.651 0.904
Ag 0.500 0.500 0.000
Pt 0.025 0.422 0.142
Pt 0.117 0.975 0.397
Pt 0.280 0.883 0.858
Pt 0.578 0.720 0.603
Pt 0.750 0.250 0.500

No. 4
A relaxed Ce2PrOs crystal, computed with PBE-GGA.

Output
E_form ... 0.11 eV/atom
E ... -6.855 eV per atom
Symmetry ... No. 166
Total moment ... 0.093 μB/atom

a b c (Å): 4.717 4.717 15.326
angles (deg): 90.00 90.00 120.00
Fractional coordinates of all 12 atoms:
Ce 0.000 0.000 0.237
Ce 0.000 0.000 0.763
Ce 0.333 0.667 0.429
Ce 0.333 0.667 0.904
Ce 0.667 0.333 0.096
Ce 0.667 0.333 0.571
Pr 0.000 0.000 0.000
Pr 0.333 0.667 0.667
Pr 0.667 0.333 0.333
Os 0.000 0.000 0.500
Os 0.333 0.667 0.167
Os 0.667 0.333 0.833

No. 5
A relaxed La4SmEr3Se8 crystal, computed with PBE-GGA.

Output
E ... -5.991 eV per atom
Symmetry ... No. 166
Total moment ... 0.000 μB/atom
ΔE_f (raw) ... -1.866 eV per atom

a b c (Å): 8.447 8.447 8.447
angles (deg): 59.05 59.05 59.05
Fractional coordinates of all 16 atoms:
La 0.000 0.000 0.000
La 0.000 0.500 0.500
La 0.500 0.000 0.500
La 0.500 0.500 0.000
Sm 0.500 0.500 0.500
Er 0.000 0.000 0.500
Er 0.000 0.500 0.000
Er 0.500 0.000 0.000
Se 0.238 0.747 0.747
Se 0.242 0.242 0.242
Se 0.253 0.253 0.762
Se 0.253 0.762 0.253
Se 0.747 0.238 0.747
Se 0.747 0.747 0.238
Se 0.758 0.758 0.758
Se 0.762 0.253 0.253

No. 6
A relaxed LiTa4Cu crystal, computed with PBE-GGA.

Output
E_form ... 0.71 eV/atom
E ... -8.194 eV per atom
Symmetry ... No. 216
Total moment ... 0.000 μB/atom

a b c (Å): 5.442 5.442 5.442
angles (deg): 60.00 60.00 60.00
Fractional coordinates of all 6 atoms:
Li 0.000 0.000 0.000
Ta 0.123 0.626 0.626
Ta 0.626 0.123 0.626
Ta 0.626 0.626 0.123
Ta 0.626 0.626 0.626
Cu 0.250 0.250 0.250

No. 7
A relaxed CaTcH3 crystal, computed with PBE-GGA.

Output
E ... -4.793 eV per atom
Symmetry ... No. 221
Total moment ... 0.000 μB/atom

a b c (Å): 3.642 3.642 3.642
angles (deg): 90.00 90.00 90.00
Fractional coordinates of all 5 atoms:
Ca 0.000 0.000 0.000
Tc 0.500 0.500 0.500
H 0.000 0.500 0.500
H 0.500 0.000 0.500
H 0.500 0.500 0.000

No. 8
A relaxed TiZn2Co crystal, computed with PBE-GGA.

Output
E_form ... 0.15 eV/atom
E ... -4.236 eV per atom
Symmetry ... No. 122
Total moment ... 0.000 μB/atom

a b c (Å): 3.546 3.546 18.739
angles (deg): 90.00 90.00 90.00
Fractional coordinates of all 16 atoms:
Ti 0.000 0.000 0.000
Ti 0.000 0.500 0.250
Ti 0.500 0.000 0.750
Ti 0.500 0.500 0.500
Zn 0.237 0.250 0.625
Zn 0.250 0.737 0.875
Zn 0.250 0.763 0.375
Zn 0.263 0.250 0.125
Zn 0.737 0.750 0.125
Zn 0.750 0.237 0.375
Zn 0.750 0.263 0.875
Zn 0.763 0.750 0.625
Co 0.000 0.000 0.500
Co 0.000 0.500 0.750
Co 0.500 0.000 0.250
Co 0.500 0.500 0.000

No. 9
A relaxed HgBiAu crystal, computed with PBE-GGA.

Output
E_form ... 0.05 eV/atom
E ... -2.440 eV per atom
Symmetry ... No. 1
Total moment ... 0.000 μB/atom

a b c (Å): 3.404 6.404 7.783
angles (deg): 104.93 101.39 90.27
Fractional coordinates of all 6 atoms:
Hg 0.000 0.000 0.000
Hg 0.194 0.260 0.393
Bi 0.149 0.681 0.286
Bi 0.897 0.421 0.838
Au 0.334 0.708 0.695
Au 0.779 0.002 0.569

No. 10
A relaxed PmSmNi2 crystal, computed with PBE-GGA.

Output
E_form ... -0.27 eV/atom
E ... -5.528 eV per atom
Symmetry ... No. 123
Total moment ... 0.000 μB/atom

a b c (Å): 4.916 4.916 3.421
angles (deg): 90.00 90.00 90.00
Fractional coordinates of all 4 atoms:
Pm 0.000 0.000 0.000
Sm 0.500 0.500 0.000
Ni 0.000 0.500 0.500
Ni 0.500 0.000 0.500

No. 11
A relaxed ThCdPd2 crystal, computed with PBE-GGA.

Output
E_form ... -0.55 eV/atom
E ... -5.231 eV per atom
Symmetry ... No. 123
Total moment ... 0.000 μB/atom

a b c (Å): 3.503 3.503 6.809
angles (deg): 90.00 90.00 90.00
Fractional coordinates of all 4 atoms:
Th 0.000 0.000 0.000
Cd 0.000 0.000 0.500
Pd 0.500 0.500 0.274
Pd 0.500 0.500 0.726

No. 12
A relaxed Cs2MnBeI6 crystal, computed with PBE-GGA.

Output
E ... -3.160 eV per atom
Symmetry ... No. 139
Total moment ... 0.500 μB/atom
ΔE_f (raw) ... -0.770 eV per atom

a b c (Å): 8.375 8.375 8.375
angles (deg): 122.38 122.38 85.92
Fractional coordinates of all 10 atoms:
Cs 0.250 0.750 0.500
Cs 0.750 0.250 0.500
Mn 0.000 0.000 0.000
Be 0.500 0.500 0.000
I 0.219 0.219 0.000
I 0.272 0.272 0.545
I 0.272 0.728 0.000
I 0.728 0.272 0.000
I 0.728 0.728 0.455
I 0.781 0.781 0.000

No. 13
A relaxed Tl2HRuO6 crystal, computed with PBE-GGA.

Output
E ... -5.459 eV per atom
Symmetry ... No. 8
Total moment ... 0.080 μB/atom

a b c (Å): 6.006 6.006 5.682
angles (deg): 116.67 116.67 73.45
Fractional coordinates of all 10 atoms:
Tl 0.242 0.758 0.000
Tl 0.758 0.242 0.000
H 0.762 0.762 0.555
Ru 0.357 0.357 0.309
O 0.075 0.497 0.099
O 0.151 0.151 0.303
O 0.492 0.492 0.693
O 0.497 0.075 0.099
O 0.552 0.552 0.273
O 0.887 0.887 0.688

No. 14
A relaxed CrAg2Ir crystal, computed with PBE-GGA.

Output
E_form ... 0.39 eV/atom
E ... -5.660 eV per atom
Symmetry ... No. 119
Total moment ... 0.739 μB/atom

a b c (Å): 4.072 4.072 7.659
angles (deg): 90.00 90.00 90.00
Fractional coordinates of all 8 atoms:
Cr 0.000 0.000 0.000
Cr 0.500 0.500 0.500
Ag 0.000 0.000 0.500
Ag 0.000 0.500 0.250
Ag 0.500 0.000 0.750
Ag 0.500 0.500 0.000
Ir 0.000 0.500 0.750
Ir 0.500 0.000 0.250

No. 15
A relaxed KTaHg crystal, computed with PBE-GGA.

Output
E_form ... 1.86 eV/atom
E ... -2.558 eV per atom
Symmetry ... No. 194
Total moment ... 1.142 μB/atom

a b c (Å): 5.643 5.643 11.046
angles (deg): 90.00 90.00 120.00
Fractional coordinates of all 6 atoms:
K 0.333 0.667 0.250
K 0.667 0.333 0.750
Ta 0.000 0.000 0.000
Ta 0.000 0.000 0.500
Hg 0.000 0.000 0.250
Hg 0.000 0.000 0.750

No. 16
A relaxed MnCr2Cl crystal, computed with PBE-GGA.

Output
E ... -6.907 eV per atom
Symmetry ... No. 119
Total moment ... 0.971 μB/atom
ΔE_f (raw) ... 0.658 eV per atom

a b c (Å): 3.622 3.622 9.910
angles (deg): 90.00 90.00 90.00
Fractional coordinates of all 8 atoms:
Mn 0.000 0.000 0.000
Mn 0.500 0.500 0.500
Cr 0.000 0.000 0.500
Cr 0.000 0.500 0.250
Cr 0.500 0.000 0.750
Cr 0.500 0.500 0.000
Cl 0.000 0.500 0.750
Cl 0.500 0.000 0.250

No. 17
A relaxed AcSmDyHg crystal, computed with PBE-GGA.

Output
E_form ... -0.21 eV/atom
E ... -3.642 eV per atom
Symmetry ... No. 99
Total moment ... 0.001 μB/atom

a b c (Å): 3.782 3.782 8.995
angles (deg): 90.00 90.00 90.00
Fractional coordinates of all 4 atoms:
Ac 0.000 0.000 0.000
Sm 0.500 0.500 0.703
Dy 0.500 0.500 0.291
Hg 0.000 0.000 0.487

No. 18
A relaxed CuRuSe2Br crystal, computed with PBE-GGA.

Output
E ... -3.821 eV per atom
Symmetry ... No. 123
Total moment ... 0.000 μB/atom
ΔE_f (raw) ... 0.582 eV per atom

a b c (Å): 4.763 4.763 5.377
angles (deg): 90.00 90.00 90.00
Fractional coordinates of all 5 atoms:
Cu 0.000 0.000 0.000
Ru 0.500 0.500 0.500
Se 0.000 0.500 0.500
Se 0.500 0.000 0.500
Br 0.500 0.500 0.000

No. 19
A relaxed LiPr6Ga crystal, computed with PBE-GGA.

Output
E_form ... -0.12 eV/atom
E ... -4.323 eV per atom
Symmetry ... No. 139
Total moment ... 0.000 μB/atom

a b c (Å): 5.256 5.256 18.119
angles (deg): 90.00 90.00 90.00
Fractional coordinates of all 16 atoms:
Li 0.000 0.000 0.000
Li 0.500 0.500 0.500
Pr 0.000 0.000 0.251
Pr 0.000 0.000 0.749
Pr 0.000 0.500 0.106
Pr 0.000 0.500 0.394
Pr 0.000 0.500 0.606
Pr 0.000 0.500 0.894
Pr 0.500 0.000 0.106
Pr 0.500 0.000 0.394
Pr 0.500 0.000 0.606
Pr 0.500 0.000 0.894
Pr 0.500 0.500 0.249
Pr 0.500 0.500 0.751
Ga 0.000 0.000 0.500
Ga 0.500 0.500 0.000

No. 20
A relaxed MnZnCrSb2 crystal, computed with PBE-GGA.

Output
E ... -5.032 eV per atom
Symmetry ... No. 123
Total moment ... 0.538 μB/atom
ΔE_f (raw) ... 0.630 eV per atom

a b c (Å): 4.912 4.912 4.698
angles (deg): 90.00 90.00 90.00
Fractional coordinates of all 5 atoms:
Mn 0.000 0.000 0.000
Zn 0.500 0.500 0.500
Cr 0.000 0.000 0.500
Sb 0.000 0.500 0.000
Sb 0.500 0.000 0.000

No. 21
A relaxed Ho2FeCo crystal, computed with PBE-GGA.

Output
E_form ... 0.01 eV/atom
E ... -6.174 eV per atom
Symmetry ... No. 123
Total moment ... 0.450 μB/atom

a b c (Å): 4.730 4.730 3.344
angles (deg): 90.00 90.00 90.00
Fractional coordinates of all 4 atoms:
Ho 0.000 0.500 0.000
Ho 0.500 0.000 0.000
Fe 0.000 0.000 0.500
Co 0.500 0.500 0.500

No. 22
A relaxed TlCuSb2 crystal, computed with PBE-GGA.

Output
E ... -3.555 eV per atom
Symmetry ... No. 166
Total moment ... 0.000 μB/atom
ΔE_f (raw) ... 0.122 eV per atom

a b c (Å): 3.468 3.468 29.145
angles (deg): 90.00 90.00 120.00
Fractional coordinates of all 12 atoms:
Tl 0.000 0.000 0.000
Tl 0.333 0.667 0.667
Tl 0.667 0.333 0.333
Cu 0.000 0.000 0.500
Cu 0.333 0.667 0.167
Cu 0.667 0.333 0.833
Sb 0.000 0.000 0.230
Sb 0.000 0.000 0.770
Sb 0.333 0.667 0.436
Sb 0.333 0.667 0.897
Sb 0.667 0.333 0.103
Sb 0.667 0.333 0.564

No. 23
A relaxed SbPIr2 crystal, computed with PBE-GGA.

Output
E ... -6.945 eV per atom
Symmetry ... No. 122
Total moment ... 0.000 μB/atom
ΔE_f (raw) ... -0.131 eV per atom

a b c (Å): 5.407 5.407 11.739
angles (deg): 90.00 90.00 90.00
Fractional coordinates of all 16 atoms:
Sb 0.000 0.000 0.000
Sb 0.000 0.500 0.250
Sb 0.500 0.000 0.750
Sb 0.500 0.500 0.500
P 0.000 0.000 0.500
P 0.000 0.500 0.750
P 0.500 0.000 0.250
P 0.500 0.500 0.000
Ir 0.193 0.250 0.625
Ir 0.250 0.693 0.875
Ir 0.250 0.807 0.375
Ir 0.307 0.250 0.125
Ir 0.693 0.750 0.125
Ir 0.750 0.193 0.375
Ir 0.750 0.307 0.875
Ir 0.807 0.750 0.625

No. 24
A relaxed DyMgCo2Ge2 crystal, computed with PBE-GGA.

Output
E_form ... -0.48 eV/atom
E ... -5.422 eV per atom
Symmetry ... No. 164
Total moment ... 0.000 μB/atom

a b c (Å): 4.127 4.127 6.614
angles (deg): 90.00 90.00 120.00
Fractional coordinates of all 6 atoms:
Dy 0.000 0.000 0.000
Mg 0.000 0.000 0.500
Co 0.333 0.667 0.643
Co 0.667 0.333 0.357
Ge 0.333 0.667 0.273
Ge 0.667 0.333 0.727

No. 25
A relaxed SmZn2Cu2Pd crystal, computed with PBE-GGA.

Output
E_form ... -0.02 eV/atom
E ... -3.467 eV per atom
Symmetry ... No. 123
Total moment ... 0.000 μB/atom

a b c (Å): 4.750 4.750 5.295
angles (deg): 90.00 90.00 90.00
Fractional coordinates of all 6 atoms:
Sm 0.000 0.000 0.000
Zn 0.000 0.500 0.500
Zn 0.500 0.000 0.500
Cu 0.500 0.500 0.241
Cu 0.500 0.500 0.759
Pd 0.000 0.000 0.500

No. 26
A relaxed TaTcF3 crystal, computed with PBE-GGA.

Output
E ... -5.577 eV per atom
Symmetry ... No. 221
Total moment ... 0.218 μB/atom
ΔE_f (raw) ... -0.010 eV per atom

a b c (Å): 4.286 4.286 4.286
angles (deg): 90.00 90.00 90.00
Fractional coordinates of all 5 atoms:
Ta 0.000 0.000 0.000
Tc 0.500 0.500 0.500
F 0.000 0.500 0.500
F 0.500 0.000 0.500
F 0.500 0.500 0.000

No. 27
A relaxed CaTaZn2F crystal, computed with PBE-GGA.

Output
E ... -3.911 eV per atom
Symmetry ... No. 123
Total moment ... 0.321 μB/atom
ΔE_f (raw) ... -0.257 eV per atom

a b c (Å): 4.735 4.735 4.153
angles (deg): 90.00 90.00 90.00
Fractional coordinates of all 5 atoms:
Ca 0.000 0.000 0.000
Ta 0.500 0.500 0.000
Zn 0.000 0.500 0.500
Zn 0.500 0.000 0.500
F 0.000 0.000 0.500